#1
Computed, not measured: crystalline VSbOF2 at its relaxed geometry at the GGA+U level of DFT.

Results
D(E_F) (states/eV per cell): 2.44

Cell lengths 4.200, 4.200, 3.945 Å; angles 90.00, 90.00, 90.00 degrees
Space group P4/mmm (No. 123)
Asymmetric unit:
V1 0.000 0.000 0.000
Sb1 0.500 0.500 0.500
O1 0.000 0.000 0.500
F1 0.000 0.500 0.000

=====

#2
Computed, not measured: crystalline VSbOF2 at its relaxed geometry at the GGA+U level of DFT.

Results
D(E_F) (states/eV per cell): 5.36

Cell lengths 4.573, 4.573, 4.252 Å; angles 90.00, 90.00, 90.00 degrees
Space group P4/mmm (No. 123)
Asymmetric unit:
V1 0.000 0.000 0.000
Sb1 0.500 0.500 0.500
O1 0.500 0.500 0.000
F1 0.000 0.500 0.500

=====

What is the stability order? It is #1, #2, from most stable to least stable.